Entry 1:
The following is a PBE calculation of crystalline NaPmAlPb at its relaxed geometry, from Alexandria via LeMat-Bulk.

Its energy of formation from the pure elements is -136 meV/atom.

The space group is F-43m (No. 216) and the conventional cell measures 7.546, 7.546 and 7.546 Å, with angles of 90.00, 90.00 and 90.00 degrees. The asymmetric unit holds Na at (0.000, 0.000, 0.000), Pm at (0.000, 0.000, 0.500), Al at (0.250, 0.250, 0.750) and Pb at (0.250, 0.250, 0.250).

---

Entry 2:
The following is a PBE calculation of crystalline Ba5Na2N at its relaxed geometry, from Alexandria via LeMat-Bulk.

The formation energy from raw total energies comes out at -0.12 eV/atom. For the energy above the lowest structure with this stoichiometry, the calculation gives 0.0 meV/atom.

The space group is P1 (No. 1) and the conventional cell measures 7.610, 8.227 and 8.242 Å, with angles of 63.04, 87.68 and 70.54 degrees. The asymmetric unit holds Ba at (0.000, 0.000, 0.000), Ba at (0.038, 0.987, 0.531), Ba at (0.506, 0.235, 0.645), Ba at (0.580, 0.576, 0.005), Ba at (0.874, 0.522, 0.517), Na at (0.120, 0.456, 0.029), Na at (0.497, 0.028, 0.233) and N at (0.850, 0.193, 0.671).

---

Entry 3:
The following is a PBE calculation of crystalline K2LaBr6 at its relaxed geometry, from Alexandria via LeMat-Bulk.

The formation energy from raw total energies comes out at -1.59 eV/atom.

The space group is Amm2 (No. 38) and the conventional cell measures 4.673, 14.990 and 8.586 Å, with angles of 90.00, 90.00 and 90.00 degrees. The asymmetric unit holds K at (0.000, 0.168, 0.000), La at (0.500, 0.000, 0.504), Br at (0.000, 0.000, 0.747), Br at (0.000, 0.120, 0.380), Br at (0.500, 0.000, 0.142) and Br at (0.500, 0.182, 0.681).

---

Entry 4:
The following is a PBE calculation of crystalline CaLaHg2 at its relaxed geometry, from Alexandria via LeMat-Bulk.

Its energy of formation from the pure elements is -530 meV/atom. For the energy above the lowest structure with this stoichiometry, the calculation gives 37.8 meV/atom.

The space group is P2/m (No. 10) and the conventional cell measures 3.794, 3.870 and 7.806 Å, with angles of 90.00, 90.07 and 90.00 degrees. The asymmetric unit holds Ca at (0.000, 0.000, 0.000), La at (0.000, 0.000, 0.500) and Hg at (0.500, 0.500, 0.243).

---

Entry 5:
The following is a PBE calculation of crystalline CdNiRu2 at its relaxed geometry, from Alexandria via LeMat-Bulk.

Its energy of formation from the pure elements is 454 meV/atom.

The space group is Pmmm (No. 47) and the conventional cell measures 2.837, 4.517 and 4.654 Å, with angles of 90.00, 90.00 and 90.00 degrees. The asymmetric unit holds Cd at (0.000, 0.000, 0.000), Ni at (0.500, 0.500, 0.000), Ru at (0.000, 0.500, 0.500) and Ru at (0.500, 0.000, 0.500).

---

Entry 6:
The following is a PBE calculation of crystalline LaMgSn2Pd at its relaxed geometry, from Alexandria via LeMat-Bulk.

Its energy of formation from the pure elements is -665 meV/atom. For the energy above the lowest structure with this stoichiometry, the calculation gives 0.0 meV/atom.

The space group is I-4m2 (No. 119) and the conventional cell measures 4.479, 4.479 and 12.143 Å, with angles of 90.00, 90.00 and 90.00 degrees. The asymmetric unit holds La at (0.000, 0.000, 0.000), Mg at (0.000, 0.500, 0.750), Sn at (0.000, 0.000, 0.384) and Pd at (0.000, 0.500, 0.250).

---

Entry 7:
The following is a PBE calculation of crystalline Fe2PbCl at its relaxed geometry, from Alexandria via LeMat-Bulk.

The formation energy from raw total energies comes out at 0.47 eV/atom. For the energy above the lowest structure with this stoichiometry, the calculation gives 410.1 meV/atom.

The space group is R-3m (No. 166, hexagonal axes) and the conventional cell measures 3.2320, 3.2320 and 23.9211 Å, with angles of 90.00, 90.00 and 120.00 degrees. The asymmetric unit holds Fe at (0.0000, 0.0000, 0.2420), Pb at (0.0000, 0.0000, 0.0000) and Cl at (0.0000, 0.0000, 0.5000).

---

Entry 8:
The following is a PBE calculation of crystalline TbCeSn at its relaxed geometry, from Alexandria via LeMat-Bulk.

Its energy of formation from the pure elements is -588 meV/atom. For the energy above the lowest structure with this stoichiometry, the calculation gives 0.0 meV/atom.

The space group is I4/mmm (No. 139) and the conventional cell measures 4.399, 4.399 and 17.629 Å, with angles of 90.00, 90.00 and 90.00 degrees. The asymmetric unit holds Tb at (0.000, 0.000, 0.178), Ce at (0.000, 0.500, 0.000) and Sn at (0.000, 0.000, 0.359).

---

Calculated values (g/cm³) of ρ for the records, taken in order: 6.2, 2.9, 3.8, 8.4, 10.4, 6.9, 8.2, 8.1.
Calculated values (Bohr magnetons per cell) of size of the total moment for the records, taken in order: 0.0, 0.0, 2.1, 0.2, 1.8, 0.0, 17.5, 2.1.
Calculated values (states/eV per atom) of DOS(E_F) for the records, taken in order: 0.524, 1.002, 1.193, 0.964, 1.324, 0.311, 1.265, 1.771.